Record 1
First-principles (GGA-PBE) data for Mg2GaNi5B2 after structural relaxation, as listed in Alexandria.

Unit cell a=2.9299 b=8.7630 c=8.7630 alpha=90.00 beta=90.00 gamma=90.00
Last column: nearest neighbours and their distance in Å.
Positions (direct):
Mg 0.0000 0.6768 0.1768  3 B 2.50-2.66, 10 Ni 2.64-2.75
Mg 0.0000 0.3232 0.8232  3 B 2.50-2.66, 10 Ni 2.64-2.75
Mg 0.0000 0.1768 0.3232  3 B 2.50-2.66, 10 Ni 2.64-2.75
Mg 0.0000 0.8232 0.6768  3 B 2.50-2.66, 10 Ni 2.64-2.75
Ga 0.0000 0.0000 0.0000  8 Ni 2.52
Ga 0.0000 0.5000 0.5000  8 Ni 2.52
Ni 0.5000 0.2231 0.0692  2 B 2.05
Ni 0.5000 0.7769 0.9308  2 B 2.05
Ni 0.5000 0.0692 0.7769  2 B 2.05
Ni 0.5000 0.7231 0.4308  2 B 2.05
Ni 0.5000 0.9308 0.2231  2 B 2.05
Ni 0.5000 0.2769 0.5692  2 B 2.05
Ni 0.5000 0.5692 0.7231  2 B 2.05
Ni 0.5000 0.4308 0.2769  2 B 2.05
Ni 0.5000 0.5000 0.0000  4 B 2.10
Ni 0.5000 0.0000 0.5000  4 B 2.10
B 0.0000 0.1211 0.6211  6 Ni 2.05-2.10
B 0.0000 0.8789 0.3789  6 Ni 2.05-2.10
B 0.0000 0.6211 0.8789  6 Ni 2.05-2.10
B 0.0000 0.3789 0.1211  6 Ni 2.05-2.10

crystal system = tetragonal

Record 2
First-principles (GGA-PBE) data for ThUFe2 after structural relaxation, as listed in Alexandria.

Unit cell a=4.1231 b=4.1231 c=5.8013 alpha=69.18 beta=69.18 gamma=60.00
Last column: nearest neighbours and their distance in Å.
Positions (direct):
U 0.0000 0.0000 0.0000  6 Fe 2.45
Fe 0.7029 0.7029 0.8914  3 U 2.45, 3 Fe 2.64
Fe 0.2971 0.2971 0.1086  3 U 2.45, 3 Fe 2.64
Th 0.5000 0.5000 0.5000  8 Fe 3.15-3.22

crystal system = trigonal

Record 3
First-principles (GGA-PBE) data for PuThTi after structural relaxation, as listed in Alexandria.

Unit cell a=3.3068 b=5.0557 c=5.0557 alpha=120.00 beta=90.00 gamma=90.00
Last column: nearest neighbours and their distance in Å.
Positions (direct):
Ti 0.1666 0.6667 0.3333  3 Pu 2.92
Th 0.6666 0.3333 0.6667  2 Th 3.31, 6 Pu 3.35-3.36, 6 Ti 3.35
Pu 0.1668 0.0000 0.0000  3 Ti 2.92

crystal system = hexagonal

Record 4
First-principles (GGA-PBE) data for UNiRu2 after structural relaxation, as listed in Alexandria.

Unit cell a=3.7724 b=4.0305 c=4.0305 alpha=90.00 beta=90.00 gamma=90.00
Last column: nearest neighbours and their distance in Å.
Positions (direct):
Ru 0.0000 0.0000 0.5000  4 Ni 2.76, 4 U 2.76, 4 Ru 2.85
Ru 0.0000 0.5000 0.0000  4 Ni 2.76, 4 U 2.76, 4 Ru 2.85
U 0.5000 0.0000 0.0000  8 Ru 2.76, 4 Ni 2.85
Ni 0.5000 0.5000 0.5000  8 Ru 2.76, 4 U 2.85

crystal system = tetragonal

Record 5
First-principles (GGA-PBE) data for As6OsPd after structural relaxation, as listed in Alexandria.

Unit cell a=7.4876 b=7.4876 c=7.4812 alpha=109.43 beta=109.51 gamma=109.51
Last column: nearest neighbours and their distance in Å.
Positions (direct):
As 0.1464 0.6596 0.8060  2 Os 2.47, 2 As 2.52-2.62
As 0.8536 0.3404 0.1940  2 Os 2.47, 2 As 2.52-2.62
As 0.8549 0.6432 0.4982  2 Pd 2.52, 2 As 2.52-2.62
As 0.1451 0.3568 0.5018  2 Pd 2.52, 2 As 2.52-2.62
As 0.7970 0.1511 0.6556  1 Os 2.46, 2 As 2.53-2.61, 1 Pd 2.53
As 0.2030 0.8489 0.3444  1 Os 2.46, 2 As 2.53-2.61, 1 Pd 2.53
As 0.5045 0.8586 0.6556  1 Os 2.46, 2 As 2.53-2.61, 1 Pd 2.53
As 0.4955 0.1414 0.3444  1 Os 2.46, 2 As 2.53-2.61, 1 Pd 2.53
As 0.6461 0.7965 0.1410  1 Os 2.46, 2 As 2.52-2.61, 1 Pd 2.53
As 0.3539 0.2035 0.8590  1 Os 2.46, 2 As 2.52-2.61, 1 Pd 2.53
As 0.6555 0.5052 0.8590  1 Os 2.46, 2 As 2.52-2.61, 1 Pd 2.53
As 0.3445 0.4948 0.1410  1 Os 2.46, 2 As 2.52-2.61, 1 Pd 2.53
Os 0.0000 0.5000 0.0000  6 As 2.46-2.47
Os 0.5000 0.0000 0.0000  6 As 2.46-2.47
Pd 0.0000 0.0000 0.5000  6 As 2.52-2.53
Pd 0.5000 0.5000 0.5000  6 As 2.52-2.53

crystal system = monoclinic

Record 6
First-principles (GGA-PBE) data for SrCd2SnRh2 after structural relaxation, as listed in Alexandria.

Unit cell a=4.9654 b=4.9654 c=6.2303 alpha=90.00 beta=90.00 gamma=90.00
Last column: nearest neighbours and their distance in Å.
Positions (direct):
Sr 0.0000 0.0000 0.5000  2 Sn 3.12
Cd 0.5000 0.5000 0.7523  4 Rh 2.92, 2 Cd 3.09-3.14
Cd 0.5000 0.5000 0.2477  4 Rh 2.92, 2 Cd 3.09-3.14
Sn 0.0000 0.0000 0.0000  4 Rh 2.48
Rh 0.5000 0.0000 0.0000  2 Sn 2.48
Rh 0.0000 0.5000 0.0000  2 Sn 2.48

crystal system = tetragonal

| no. | density (g cm⁻³) | magnetization (μB per cell) | ΔE_f (eV per atom) |
| --- | --- | --- | --- |
| 1 | 6.4 | 0.00 | -0.371 |
| 2 | 12.4 | 0.00 | -0.195 |
| 3 | 11.9 | 5.78 | 0.177 |
| 4 | 13.5 | 0.00 | -0.360 |
| 5 | 7.7 | 0.00 | -0.234 |
| 6 | 6.9 | 0.00 | -0.098 |